## NdGdSbCl2 (PBE-GGA)

Data for a geometry-optimized NdGdSbCl2 structure.

Lattice parameters (Å, degrees): 4.255 4.255 10.677 90.00 90.00 120.00
Atoms (fractional coordinates):
Cl (0.000, 0.000, 0.318)
Cl (0.333, 0.667, 0.689)
Nd (0.333, 0.667, 0.169)
Sb (0.667, 0.333, 0.994)
Gd (0.000, 0.000, 0.830)

Raw total energy = -5.12 eV per atom